(1)
The following is a DFT calculation (GGA-PBE) of Sm2YScBi5 after structural relaxation.

a = 5.479 Å, b = 5.479 Å, c = 11.527 Å
α = 90.00°, β = 90.00°, γ = 90.00°
Space group P4/mmm (No. 123)
Symmetry-distinct sites (fractional):
Sm (0.000, 0.000, 0.220) x2
Y (0.500, 0.500, 0.000) x1
Sc (0.500, 0.500, 0.500) x1
Bi (0.000, 0.000, 0.500) x1
Bi (0.000, 0.500, 0.000) x2
Bi (0.500, 0.500, 0.261) x2

The calculation puts the total energy at -4.651 eV per atom. The formation energy is -25 meV/atom.

***

(2)
The following is a DFT calculation (GGA-PBE) of CaAs2H4O8 after structural relaxation.

a = 5.765 Å, b = 7.959 Å, c = 8.756 Å
α = 111.58°, β = 109.09°, γ = 92.78°
Space group P-1 (No. 2)
Symmetry-distinct sites (fractional):
Ca (0.189, 0.314, 0.416) x2
As (0.173, 0.729, 0.317) x2
As (0.478, 0.740, 0.843) x2
H (0.000, 0.500, 0.000) x1
H (0.150, 0.133, 0.773) x2
H (0.230, 0.985, 0.004) x2
H (0.416, 0.677, 0.068) x2
H (0.500, 0.000, 0.500) x1
O (0.020, 0.917, 0.322) x2
O (0.030, 0.591, 0.381) x2
O (0.173, 0.624, 0.106) x2
O (0.208, 0.822, 0.817) x2
O (0.268, 0.098, 0.119) x2
O (0.430, 0.288, 0.956) x2
O (0.475, 0.836, 0.460) x2
O (0.498, 0.563, 0.671) x2

The calculation puts the total energy at -5.739 eV per atom.

***

(3)
The following is a DFT calculation (GGA-PBE) of Nb6PbS8 after structural relaxation.

a = 9.4159 Å, b = 9.4159 Å, c = 12.0339 Å
α = 90.00°, β = 90.00°, γ = 120.00°
Space group R-3 (No. 148, hexagonal axes)
Symmetry-distinct sites (fractional):
Nb (0.0170, 0.8329, 0.3904) x18
Pb (0.0000, 0.0000, 0.0000) x3
S (0.0000, 0.0000, 0.2378) x6
S (0.0152, 0.6420, 0.2423) x18

The calculation puts the total energy at -7.344 eV per atom. As for the uncorrected formation energy: -13.02 eV/f.u. The calculation puts the energy above the most stable polymorph in this dataset at 137 meV/atom.

***

(4)
The following is a DFT calculation (GGA-PBE) of KSc2Te3 after structural relaxation.

a = 7.654 Å, b = 4.203 Å, c = 11.534 Å
α = 90.00°, β = 103.48°, γ = 90.00°
Space group P2_1/m (No. 11)
Symmetry-distinct sites (fractional):
K (0.029, 0.250, 0.339) x2
Sc (0.254, 0.250, 0.992) x2
Sc (0.496, 0.250, 0.683) x2
Te (0.146, 0.750, 0.140) x2
Te (0.313, 0.750, 0.520) x2
Te (0.385, 0.750, 0.847) x2

The calculation puts the total energy at -4.969 eV per atom. As for the uncorrected formation energy: -6.63 eV/f.u.

***

(5)
The following is a DFT calculation (GGA-PBE) of KTlOsO4 after structural relaxation.

a = 6.442 Å, b = 6.442 Å, c = 8.096 Å
α = 90.00°, β = 90.00°, γ = 90.00°
Space group I-4 (No. 82)
Symmetry-distinct sites (fractional):
K (0.000, 0.000, 0.000) x2
Tl (0.000, 0.000, 0.500) x2
Os (0.000, 0.500, 0.750) x2
O (0.183, 0.691, 0.820) x8

The calculation puts the total energy at -6.034 eV per atom. As for the uncorrected formation energy: -7.71 eV/f.u.